Computed, not measured: a geometry-optimized Ho2TlRu structure at the PBE level of DFT.

Geometry as CIF:
```
data_Ho2TlRu
_cell_length_a 3.5868
_cell_length_b 3.5868
_cell_length_c 26.9928
_cell_angle_alpha 90.00
_cell_angle_beta 90.00
_cell_angle_gamma 120.00
_symmetry_space_group_name_H-M 'R -3 m'
_symmetry_Int_Tables_number 166
_symmetry_space_group_name_Hall '-R 3 2"'
loop_
_atom_site_label
_atom_site_fract_x
_atom_site_fract_y
_atom_site_fract_z
Ho1 0.0000 0.0000 0.2356
Tl1 0.0000 0.0000 0.0000
Ru1 0.0000 0.0000 0.5000
```

Computed properties:
Its total magnetic moment is 0.00 μB per formula unit. For the distance to the lowest polymorph of the same formula, the calculation gives 36 meV/atom. The energy relative to the elements is -0.229 eV/atom.